An optimized crystal structure of Y4PtSe2. Source: Alexandria, functional GGA-PBE.

```
Y4PtSe2
1.0
5.354 0.000 0.000
0.000 5.354 0.000
2.677 2.677 7.296
Pt Y Se
1 4 2
direct
0.000 0.000 0.000
0.000 0.500 0.000
0.192 0.192 0.616
0.808 0.808 0.384
0.500 0.000 0.000
0.381 0.381 0.239
0.619 0.619 0.761
```

Properties
For the energy relative to the elements, uncorrected, the calculation gives -605.9 kJ/mol of formula units. The space group is I4/mmm.